PrHoScTe3 | PBE | relaxed

Cell lengths 4.3167, 8.8066, 9.9426 Å; angles 104.73, 90.00, 90.00 degrees
Last column: magnetic moment on the atom in μB.
Positions (direct):
1 Pr 0.2500 0.1783 0.2374  0.03
2 Pr 0.7500 0.8217 0.7626  0.03
3 Ho 0.2500 0.6705 0.1658  0.20
4 Ho 0.7500 0.3295 0.8342  0.20
5 Sc 0.2500 0.0891 0.5936  0.52
6 Sc 0.7500 0.9109 0.4064  0.52
7 Te 0.7500 0.9019 0.1140  0.00
8 Te 0.2500 0.0981 0.8860  0.00
9 Te 0.2500 0.7365 0.4987  -0.01
10 Te 0.7500 0.2635 0.5013  -0.01
11 Te 0.7500 0.4222 0.1600  0.00
12 Te 0.2500 0.5778 0.8400  0.00

Formation energy without anion corrections = -1205.8 meV per atom
Size of the total moment = 2.3 μB per cell
SG = No. 11
Volume = 366 Å³/cell

As3AuSe | PBE | relaxed

Cell lengths 4.9927, 4.9927, 4.9927 Å; angles 90.00, 90.00, 90.00 degrees
Positions (direct):
1 As 0.0000 0.5000 0.0000
2 As 0.0000 0.0000 0.5000
3 As 0.5000 0.0000 0.0000
4 Au 0.5000 0.5000 0.5000
5 Se 0.0000 0.0000 0.0000

Formation energy without anion corrections = 1002.8 meV per atom
Size of the total moment = 0.0 μB per cell
SG = No. 221
Volume = 124 Å³/cell

LaMn2 | PBE | relaxed

Cell lengths 5.6790, 5.6790, 5.6790 Å; angles 145.60, 141.24, 52.78 degrees
Last column: magnetic moment on the atom in μB.
Positions (direct):
1 La 0.0000 0.0000 0.0000  -0.19
2 Mn 0.3054 0.3054 0.0000  3.52
3 Mn 0.6946 0.6946 0.0000  3.52

Size of the total moment = 7.0 μB per cell
ΔH_f (0 K) = 10.13 kcal/mol of atoms
SG = No. 71
Volume = 64 Å³/cell

Pm2EuPb | PBE | relaxed

Cell lengths 4.9225, 5.0461, 5.0461 Å; angles 90.00, 90.00, 90.00 degrees
Last column: magnetic moment on the atom in μB.
Positions (direct):
1 Pb 0.5000 0.0000 0.0000  -0.04
2 Eu 0.5000 0.5000 0.5000  6.93
3 Pm 0.0000 0.0000 0.5000  0.12
4 Pm 0.0000 0.5000 0.0000  0.12

Size of the total moment = 7.6 μB per cell
ΔH_f (0 K) = -7.01 kcal/mol of atoms
SG = No. 123
Volume = 125 Å³/cell

Which value of volume does entry 3 give?
64 Å³/cell

Number 4 is which compound?
Pm2EuPb